Compound: NiSbRu2
Source: Alexandria
Functional: PBE
Structure: optimized geometry

The structure belongs to space group I-42d (No. 122); the cell edges are 3.854, 3.854 and 17.903 Å and the angles 90.00°, 90.00° and 90.00°. The inequivalent atoms are Ni at (0.000, 0.000, 0.000), Sb at (0.000, 0.000, 0.500) and Ru at (0.190, 0.250, 0.125).

As for the formation energy from raw total energies: 0.412 eV per atom.

Compound: NiSbRu2
Source: Alexandria
Functional: PBE
Structure: optimized geometry

The structure belongs to space group P4/mmm (No. 123); the cell edges are 4.298, 4.298 and 3.185 Å and the angles 90.00°, 90.00° and 90.00°. The inequivalent atoms are Ni at (0.000, 0.000, 0.000), Sb at (0.500, 0.500, 0.000) and Ru at (0.000, 0.500, 0.500).

As for the formation energy from raw total energies: 0.105 eV per atom.

Compound: NiSb4Ru
Source: Alexandria
Functional: PBE
Structure: optimized geometry

The structure belongs to space group F-43m (No. 216); the cell edges are 8.435, 8.435 and 8.435 Å and the angles 90.00°, 90.00° and 90.00°. The inequivalent atoms are Ni at (0.000, 0.000, 0.000), Sb at (0.125, 0.125, 0.375) and Ru at (0.250, 0.250, 0.750).

As for the formation energy from raw total energies: 1.166 eV per atom. The calculation puts the polymorph energy (0 for the lowest one) at 1.239 eV per atom.

Compound: NiSb4Ru
Source: Alexandria
Functional: PBE
Structure: optimized geometry

The structure belongs to space group P2_1/c (No. 14); the cell edges are 6.492, 6.445 and 6.249 Å and the angles 90.00°, 91.42° and 90.00°. The inequivalent atoms are Ni at (0.000, 0.000, 0.000), Sb at (0.134, 0.132, 0.631), Sb at (0.359, 0.632, 0.618) and Ru at (0.500, 0.000, 0.500).

As for the formation energy from raw total energies: -0.072 eV per atom. The calculation puts the polymorph energy (0 for the lowest one) at 0.000 eV per atom.

Compound: Ni4SbRu
Source: Alexandria
Functional: PBE
Structure: optimized geometry

The structure belongs to space group F-43m (No. 216); the cell edges are 6.767, 6.767 and 6.767 Å and the angles 90.00°, 90.00° and 90.00°. The inequivalent atoms are Ni at (0.124, 0.124, 0.124), Sb at (0.000, 0.000, 0.500) and Ru at (0.250, 0.250, 0.750).

As for the formation energy from raw total energies: 0.146 eV per atom.

Compound: NiSbRu2
Source: Alexandria
Functional: PBE
Structure: optimized geometry

The structure belongs to space group P2/m (No. 10); the cell edges are 4.521, 2.932 and 4.774 Å and the angles 90.00°, 109.24° and 90.00°. The inequivalent atoms are Ni at (0.000, 0.000, 0.000), Sb at (0.000, 0.500, 0.500), Ru at (0.500, 0.000, 0.500) and Ru at (0.500, 0.500, 0.000).

As for the formation energy from raw total energies: 0.201 eV per atom.

Compound: ScNiSbRu
Source: Alexandria
Functional: PBE
Structure: optimized geometry

The structure belongs to space group F-43m (No. 216); the cell edges are 6.355, 6.355 and 6.355 Å and the angles 90.00°, 90.00° and 90.00°. The inequivalent atoms are Sc at (0.000, 0.000, 0.000), Ni at (0.250, 0.250, 0.250), Sb at (0.000, 0.000, 0.500) and Ru at (0.250, 0.250, 0.750).

As for the formation energy from raw total energies: -0.448 eV per atom.

Compound: NiSbTe2Ru
Source: Alexandria
Functional: PBE
Structure: optimized geometry

The structure belongs to space group P4/mmm (No. 123); the cell edges are 5.233, 5.233 and 4.974 Å and the angles 90.00°, 90.00° and 90.00°. The inequivalent atoms are Ni at (0.000, 0.000, 0.000), Sb at (0.500, 0.500, 0.000), Te at (0.000, 0.500, 0.500) and Ru at (0.500, 0.500, 0.500).

As for the formation energy from raw total energies: 0.885 eV per atom. The calculation puts the polymorph energy (0 for the lowest one) at 0.038 eV per atom.

no.,magnetization (μB/f.u.)
1,0.51
2,0.00
3,1.41
4,0.00
5,2.45
6,0.00
7,0.00
8,0.70